Here is an optimized crystal structure of La5Pm4Ho2 from Alexandria via LeMat-Bulk. Energies are from PBE-GGA.

Values from the calculation:
The symmetry is C2/m (12). The value obtained for the energy above the most stable polymorph in this dataset is 0.049 eV/atom. Its energy of formation is 0.123 eV/atom. The value obtained for the total energy is -4.676 eV per atom. Its volume is 393.1 Å³/cell.

Cell: 12.4105 12.4105 9.4336 Å, 111.67 111.67 16.95°
Closest atoms and distances in Å follow each position.
Sites, in units of the cell vectors:
La: 0.0000 0.0000 0.0000  6 La 3.57-3.66, 4 Pm 3.81
La: 0.3676 0.3676 0.9275  2 Ho 3.36, 3 Pm 3.37-3.54, 5 La 3.56-3.66
La: 0.3853 0.3853 0.5698  3 Ho 3.54-3.78, 3 La 3.56-3.66, 4 Pm 3.58-3.95
La: 0.6147 0.6147 0.4302  3 Ho 3.54-3.78, 3 La 3.56-3.66, 4 Pm 3.58-3.95
La: 0.6324 0.6324 0.0725  2 Ho 3.36, 3 Pm 3.37-3.54, 5 La 3.56-3.66
Pm: 0.1852 0.1852 0.8285  2 Ho 3.52, 2 La 3.54, 4 Pm 3.66-3.74
Pm: 0.4579 0.4579 0.2986  3 La 3.37-3.62, 5 Pm 3.58-3.74
Pm: 0.5421 0.5421 0.7014  3 La 3.37-3.62, 5 Pm 3.58-3.74
Pm: 0.8148 0.8148 0.1715  2 Ho 3.52, 2 La 3.54, 4 Pm 3.66-3.74
Ho: 0.2336 0.2336 0.3434  4 Ho 3.31-3.66, 3 La 3.36-3.54, 2 Pm 3.52
Ho: 0.7664 0.7664 0.6566  4 Ho 3.31-3.66, 3 La 3.36-3.54, 2 Pm 3.52

Here is an optimized crystal structure of LaPm7Ho4 from Alexandria via LeMat-Bulk. Energies are from PBE-GGA.

Values from the calculation:
The symmetry is P-1 (2). The value obtained for the energy above the most stable polymorph in this dataset is 0.000 eV/atom. Its energy of formation is 0.002 eV/atom. The value obtained for the total energy is -4.706 eV per atom. Its volume is 402.7 Å³/cell.

Cell: 6.3164 7.2958 8.9879 Å, 89.98 76.46 89.98°
Closest atoms and distances in Å follow each position.
Sites, in units of the cell vectors:
La: 0.0000 0.0000 0.0000  10 Pm 3.61-3.66, 2 Ho 3.62
Pm: 0.0000 0.5000 0.0000  4 Ho 3.59-3.60, 6 Pm 3.61-3.63, 2 La 3.65
Pm: 0.2233 0.0000 0.3351  6 Pm 3.57-3.67, 5 Ho 3.58-3.67, 1 La 3.61
Pm: 0.2800 0.2520 0.6634  6 Ho 3.56-3.70, 5 Pm 3.57-3.67, 1 La 3.63
Pm: 0.4999 0.2537 0.0014  3 Ho 3.59-3.61, 7 Pm 3.59-3.70, 2 La 3.66
Pm: 0.5001 0.7463 0.9986  3 Ho 3.59-3.61, 7 Pm 3.59-3.70, 2 La 3.66
Pm: 0.7200 0.7480 0.3366  6 Ho 3.56-3.70, 5 Pm 3.57-3.67, 1 La 3.63
Pm: 0.7767 0.0000 0.6649  6 Pm 3.57-3.67, 5 Ho 3.58-3.67, 1 La 3.61
Ho: 0.2187 0.5001 0.3354  4 Ho 3.54-3.65, 8 Pm 3.56-3.65
Ho: 0.2780 0.7454 0.6651  3 Ho 3.56-3.65, 8 Pm 3.56-3.70, 1 La 3.62
Ho: 0.7220 0.2546 0.3349  3 Ho 3.56-3.65, 8 Pm 3.56-3.70, 1 La 3.62
Ho: 0.7813 0.4999 0.6646  4 Ho 3.54-3.65, 8 Pm 3.56-3.65

Here is an optimized crystal structure of La5Pm4Ho2 from Alexandria via LeMat-Bulk. Energies are from PBE-GGA.

Values from the calculation:
The symmetry is P2/m (10). The value obtained for the energy above the most stable polymorph in this dataset is 0.000 eV/atom. Its energy of formation is 0.075 eV/atom. The value obtained for the total energy is -4.725 eV per atom. Its volume is 386.8 Å³/cell.

Cell: 9.0897 3.5753 11.9390 Å, 90.00 94.55 90.00°
Closest atoms and distances in Å follow each position.
Sites, in units of the cell vectors:
La: 0.0000 0.0000 0.0000  6 La 3.51-3.58, 4 Pm 3.73
La: 0.0668 0.0000 0.2933  1 Ho 3.45, 4 La 3.51-3.61, 6 Pm 3.72-3.86
La: 0.3065 0.0000 0.8346  1 Ho 3.43, 4 La 3.54-3.61, 4 Pm 3.68-3.75
La: 0.6935 0.0000 0.1654  1 Ho 3.43, 4 La 3.54-3.61, 4 Pm 3.68-3.75
La: 0.9332 0.0000 0.7067  1 Ho 3.45, 4 La 3.51-3.61, 6 Pm 3.72-3.86
Pm: 0.2203 0.5000 0.5497  2 Pm 3.58, 4 Ho 3.58-3.62, 6 La 3.72-3.87
Pm: 0.3405 0.5000 0.1120  2 Ho 3.57, 2 Pm 3.58, 8 La 3.68-3.86
Pm: 0.6595 0.5000 0.8880  2 Ho 3.57, 2 Pm 3.58, 8 La 3.68-3.86
Pm: 0.7797 0.5000 0.4503  2 Pm 3.58, 4 Ho 3.58-3.62, 6 La 3.72-3.87
Ho: 0.4426 0.0000 0.3652  3 Ho 3.30-3.58, 2 La 3.43-3.45, 6 Pm 3.57-3.62
Ho: 0.5574 0.0000 0.6348  3 Ho 3.30-3.58, 2 La 3.43-3.45, 6 Pm 3.57-3.62